No. 1
SbPt2Pb: optimized geometry, PBE.

Cell lengths 3.4568, 3.4568, 7.0230 Å; angles 90.00, 90.00, 90.00 degrees
Sites, in units of the cell vectors:
Sb  0.0000  0.0000  0.0000
Pt  0.5000  0.5000  0.2142
Pt  0.5000  0.5000  0.7858
Pb  0.0000  0.0000  0.5000

Final energy: -20.29 eV per cell
Spin magnetization: 0.000 μB per atom
Raw formation energy: -0.095 eV per atom

No. 2
SbPt2Pb: optimized geometry, PBE.

Cell lengths 3.3678, 4.9160, 10.1447 Å; angles 90.00, 90.00, 90.00 degrees
Sites, in units of the cell vectors:
Sb  0.0000  0.0000  0.0000
Sb  0.5000  0.5000  0.5000
Pt  0.0000  0.0000  0.5585
Pt  0.0000  0.5000  0.2827
Pt  0.5000  0.0000  0.7827
Pt  0.5000  0.5000  0.0585
Pb  0.0000  0.5000  0.7896
Pb  0.5000  0.0000  0.2896

Final energy: -40.24 eV per cell
Spin magnetization: 0.000 μB per atom
Raw formation energy: -0.052 eV per atom

No. 3
SbPtPb: optimized geometry, PBE.

Cell lengths 3.9683, 3.9683, 5.7011 Å; angles 90.00, 90.00, 120.00 degrees
Sites, in units of the cell vectors:
Sb  0.0000  0.0000  0.0000
Pt  0.3333  0.6667  0.7652
Pb  0.6667  0.3333  0.4564

Final energy: -14.61 eV per cell
Spin magnetization: 0.000 μB per atom
Raw formation energy: -0.245 eV per atom

No. 4
SbPt2Pb: optimized geometry, PBE.

Cell lengths 8.6366, 7.4032, 5.5468 Å; angles 90.00, 90.00, 90.00 degrees
Sites, in units of the cell vectors:
Sb  0.1253  0.0778  0.2500
Sb  0.1253  0.4222  0.7500
Sb  0.8747  0.5778  0.2500
Sb  0.8747  0.9222  0.7500
Pt  0.1095  0.7500  0.0000
Pt  0.1095  0.7500  0.5000
Pt  0.3560  0.2500  0.0000
Pt  0.3560  0.2500  0.5000
Pt  0.6440  0.7500  0.0000
Pt  0.6440  0.7500  0.5000
Pt  0.8905  0.2500  0.0000
Pt  0.8905  0.2500  0.5000
Pb  0.3783  0.5917  0.2500
Pb  0.3783  0.9083  0.7500
Pb  0.6217  0.0917  0.2500
Pb  0.6217  0.4083  0.7500

Final energy: -85.41 eV per cell
Spin magnetization: 0.000 μB per atom
Raw formation energy: -0.360 eV per atom

No. 5
SbPt2Pb: optimized geometry, PBE.

Cell lengths 6.7326, 4.1289, 6.8961 Å; angles 90.00, 111.54, 90.00 degrees
Sites, in units of the cell vectors:
Sb  0.0000  0.0000  0.0000
Sb  0.5000  0.5000  0.0000
Pt  0.2411  0.5000  0.2265
Pt  0.2589  0.0000  0.7735
Pt  0.7411  0.0000  0.2265
Pt  0.7589  0.5000  0.7735
Pb  0.0000  0.5000  0.5000
Pb  0.5000  0.0000  0.5000

Final energy: -41.35 eV per cell
Spin magnetization: 0.000 μB per atom
Raw formation energy: -0.191 eV per atom

No. 6
Sb2Pt2Pb: optimized geometry, PBE.

Cell lengths 4.7584, 4.7584, 10.8054 Å; angles 90.00, 90.00, 90.00 degrees
Sites, in units of the cell vectors:
Sb  0.0000  0.0000  0.1361
Sb  0.0000  0.0000  0.8639
Sb  0.5000  0.5000  0.3639
Sb  0.5000  0.5000  0.6361
Pt  0.0000  0.5000  0.2500
Pt  0.0000  0.5000  0.7500
Pt  0.5000  0.0000  0.2500
Pt  0.5000  0.0000  0.7500
Pb  0.0000  0.0000  0.5000
Pb  0.5000  0.5000  0.0000

Energy relative to the lowest polymorph listed for this composition: 0 meV per atom
Final energy: -49.70 eV per cell
Spin magnetization: 0.000 μB per atom
Raw formation energy: -0.163 eV per atom